The following is a PBE with a Hubbard U calculation of SrEuFeWO6 after structural relaxation, from Alexandria via LeMat-Bulk.

Properties
Total DFT energy (no corrections), eV per atom: -7.65
Total magnetic moment, μB per cell: 28.0

Lattice parameters (Å, degrees): 7.9334 7.9334 7.9334 90.00 90.00 90.00
Space group F-43m (No. 216)
Asymmetric unit:
Sr 0.0000 0.0000 0.0000 x4
Eu 0.0000 0.0000 0.5000 x4
Fe 0.2500 0.2500 0.2500 x4
W 0.2500 0.2500 0.7500 x4
O 0.0045 0.2500 0.7500 x24